Density functional theory data (PBE) for a relaxed PuThGaGe crystal.

Summary:
symmetry = F-43m, No. 216
calculated formation energy = -377 meV per atom

extended XYZ file:
```
4
Lattice="0.0000 3.6265 3.6265 3.6265 0.0000 3.6265 3.6265 3.6265 0.0000" Properties=species:S:1:pos:R:3 pbc="T T T"
Pu 0.0000 0.0000 0.0000
Th 3.6265 3.6265 3.6265
Ga 5.4397 5.4397 5.4397
Ge 1.8132 1.8132 1.8132
```

Density functional theory data (PBE) for a relaxed KIrOs crystal.

Summary:
offset from the most stable computed form = 367 meV per atom
symmetry = P-6m2, No. 187
calculated formation energy = 833 meV per atom

extended XYZ file:
```
3
Lattice="4.1197 0.0000 0.0000 -2.0598 3.5677 0.0000 0.0000 0.0000 5.5801" Properties=species:S:1:pos:R:3 pbc="T T T"
K 0.0000 0.0000 0.0000
Ir 2.0598 1.1892 2.7900
Os 0.0000 2.3785 2.7900
```

Density functional theory data (PBE) for a relaxed Ca2AcZn2In2 crystal.

Summary:
symmetry = R-3m, No. 166
calculated formation energy = -340 meV per atom

extended XYZ file:
```
7
Lattice="2.4142 1.3938 9.9364 -2.4142 1.3938 9.9364 0.0000 -2.7876 9.9364" Properties=species:S:1:pos:R:3 pbc="T T T"
Ca 0.0000 0.0000 3.8360
Ca 0.0000 0.0000 25.9731
Ac 0.0000 0.0000 0.0000
Zn 0.0000 0.0000 12.0366
Zn 0.0000 0.0000 17.7725
In 0.0000 0.0000 7.6607
In 0.0000 0.0000 22.1483
```